Entry 1:
A plane-wave DFT calculation with PBE was carried out for PrMgScIr after structural relaxation.

Its total energy is -5.729 eV/atom. Its space-group type is F-43m (216).

abc: 5.001 5.001 5.001
angles: 60.00 60.00 60.00
Fractional coordinates of all 4 atoms:
Pr: 0.250 0.250 0.250
Sc: 0.750 0.750 0.750
Mg: 0.500 0.500 0.500
Ir: 0.000 0.000 0.000


Entry 2:
A plane-wave DFT calculation with PBE was carried out for Ta2TlS7 after structural relaxation.

Its space-group type is Cmmm (65). For the energy relative to the elements, uncorrected, the calculation gives -0.403 eV/atom.

abc: 4.756 7.369 7.369
angles: 118.80 90.00 90.00
Fractional coordinates of all 10 atoms:
Ta: 0.500 0.700 0.300
Ta: 0.500 0.300 0.700
Tl: 0.000 0.000 0.000
S: 0.000 0.718 0.282
S: 0.000 0.282 0.718
S: 0.500 0.064 0.326
S: 0.500 0.936 0.674
S: 0.500 0.326 0.064
S: 0.500 0.674 0.936
S: 0.500 0.500 0.500


Number 1: spin magnetization 0.00 μB per atom, Fermi-level density of states 0.756 states/eV/atom. Number 2: spin magnetization 0.00 μB per atom, Fermi-level density of states 0.762 states/eV/atom.